Record 1
Li3SiI | GGA-PBE | relaxed

Cell: 5.0537 5.0537 5.0537 Å, 90.00 90.00 90.00°
Space group Pm-3m (No. 221)
Symmetry-distinct sites (fractional):
Li  0.0000  0.0000  0.5000 [3 per cell]
Si  0.0000  0.0000  0.0000 [1 per cell]
I  0.5000  0.5000  0.5000 [1 per cell]

Summary:
Crystal system   cubic
Total magnetic moment   2.000 μB/f.u.
E_form (uncorrected)   -0.3 eV per formula unit



Record 2
LiSi2I | GGA-PBE | relaxed

Cell: 6.9938 6.9938 6.9938 Å, 90.00 90.00 90.00°
Space group Fm-3m (No. 225)
Symmetry-distinct sites (fractional):
Li  0.0000  0.0000  0.0000 [4 per cell]
Si  0.2500  0.2500  0.2500 [8 per cell]
I  0.0000  0.0000  0.5000 [4 per cell]

Summary:
Crystal system   cubic
Total magnetic moment   0.000 μB/f.u.
E_form (uncorrected)   3.2 eV per formula unit



Record 3
LiSiI | GGA-PBE | relaxed

Cell: 5.2231 5.1654 11.9297 Å, 90.00 102.61 90.00°
Space group C2/m (No. 12)
Symmetry-distinct sites (fractional):
Li  0.1150  0.0000  0.2338 [4 per cell]
Si  0.2282  0.0000  0.0002 [4 per cell]
I  0.1573  0.5000  0.3183 [4 per cell]

Summary:
Crystal system   monoclinic
Total magnetic moment   0.000 μB/f.u.
E_form (uncorrected)   -0.9 eV per formula unit



Q: What is the formula in the first record?
A: Li3SiI



Q: Among the records above, which one has the lowest E_form (uncorrected)?
A: LiSiI



Q: Which value of E_form (uncorrected) does entry 2 give?
A: 3.2 eV per formula unit



Q: Which value of E_form (uncorrected) does entry 3 give?
A: -0.9 eV per formula unit